MnVI (GGA-PBE, optimized geometry); spin magnetization = 5.4 Bohr magnetons per cell; space-group type = Amm2 (38); Fermi-level density of states = 1.127 states/eV/atom; E_tot = -6.033 eV per atom; calculated volume = 123 Å³ per cell
1.0
11.560 0.000 0.000
0.000 1.753 3.037
0.000 -1.753 3.037
Mn V I
2 2 2
direct
0.121 0.000 0.000 Mn
0.879 0.000 0.000 Mn
0.000 0.667 0.667 V
0.500 0.669 0.669 V
0.337 0.336 0.336 I
0.663 0.336 0.336 I